# 1
An optimized crystal structure of BeCoAs2, computed with PBE.

Cell: 3.147 3.298 5.748 Å, 67.07 90.00 90.00°
Atoms (fractional coordinates):
Be1 0.500 0.250 0.250
As1 0.000 0.044 0.995
As2 0.000 0.456 0.505
Co1 0.500 0.750 0.750

Summary:
Total DFT energy (no corrections), Ry/atom: -0.3498
Calculated volume, Å³ per atom: 13.7
Formation energy from the elements, eV per atom: 0.274

---

# 2
An optimized crystal structure of BeCoAs2, computed with PBE.

Cell: 4.410 4.410 4.410 Å, 130.56 119.55 81.76°
Atoms (fractional coordinates):
Be1 0.750 0.250 0.500
As1 0.988 0.988 0.000
As2 0.512 0.512 0.000
Co1 0.250 0.750 0.500

Summary:
Total DFT energy (no corrections), Ry/atom: -0.3484
Calculated volume, Å³ per atom: 13.6
Formation energy from the elements, eV per atom: 0.293

---

# 3
An optimized crystal structure of BeCoAs2, computed with PBE.

Cell: 4.318 4.078 4.078 Å, 57.61 90.00 90.00°
Atoms (fractional coordinates):
Be1 0.000 0.552 0.553
As1 0.000 0.869 0.869
As2 0.500 0.376 0.376
Co1 0.500 0.702 0.702

Summary:
Total DFT energy (no corrections), Ry/atom: -0.3742
Calculated volume, Å³ per atom: 15.2
Formation energy from the elements, eV per atom: -0.059

---

# 4
An optimized crystal structure of BeCoAs2, computed with PBE.

Cell: 4.066 4.066 3.288 Å, 90.00 90.00 90.00°
Atoms (fractional coordinates):
Be1 0.500 0.000 0.500
As1 0.000 0.000 0.000
As2 0.500 0.500 0.000
Co1 0.000 0.500 0.500

Summary:
Total DFT energy (no corrections), Ry/atom: -0.3465
Calculated volume, Å³ per atom: 13.6
Formation energy from the elements, eV per atom: 0.318

---

Number 1: size of the total moment 0.00 Bohr magnetons per cell. Number 2: size of the total moment 0.00 Bohr magnetons per cell. Number 3: size of the total moment 0.00 Bohr magnetons per cell. Number 4: size of the total moment 0.00 Bohr magnetons per cell.